Entry 1:
A relaxed NaCr2Re2 crystal, computed with PBE-GGA.

```
NaCr2Re2
1.0
-2.015 2.015 5.309
2.015 -2.015 5.309
2.015 2.015 -5.309
Na Cr Re
1 2 2
Direct
0.000 0.000 0.000 Na
0.250 0.750 0.500 Cr
0.750 0.250 0.500 Cr
0.374 0.374 0.000 Re
0.626 0.626 0.000 Re
```

Output
Space group = I4/mmm
E above lowest polymorph = 1.084 eV/f.u.



Entry 2:
A relaxed Na3Cr3ReS8 crystal, computed with PBE-GGA.

```
Na3Cr3ReS8
1.0
3.570 2.061 6.595
-3.570 2.061 6.595
0.000 -4.122 6.595
Na Cr Re S
3 3 1 8
Direct
0.000 0.500 0.500 Na
0.500 0.000 0.500 Na
0.500 0.500 0.000 Na
0.000 0.000 0.500 Cr
0.000 0.500 0.000 Cr
0.500 0.000 0.000 Cr
0.500 0.500 0.500 Re
0.232 0.232 0.232 S
0.232 0.733 0.733 S
0.267 0.267 0.768 S
0.267 0.768 0.267 S
0.733 0.232 0.733 S
0.733 0.733 0.232 S
0.768 0.267 0.267 S
0.768 0.768 0.768 S
```

Output
Raw formation energy = -74 kJ per mole of atoms
Space group = R-3m



Entry 3:
A relaxed Na2VCrRe crystal, computed with PBE-GGA.

```
Na2VCrRe
1.0
5.196 0.000 0.000
0.000 5.196 0.000
0.000 0.000 4.468
Na V Cr Re
2 1 1 1
Direct
0.000 0.500 0.000 Na
0.500 0.000 0.000 Na
0.000 0.000 0.500 V
0.500 0.500 0.000 Cr
0.500 0.500 0.500 Re
```

Output
Uncorrected energy = -5.006 eV/atom
Space group = P4/mmm



What are the DOS at the Fermi energy values for these records? In order: 0.68; 0.07; 1.48 states/eV/atom.
What are the size of the total moment values for these records? In order: 0.00; 12.03; 2.60 μB per cell.
What are the calculated volume values for these records? In order: 17.2; 19.4; 24.1 Å³ per atom.